# 1
Computed, not measured: a relaxed structure of HfTl3Fe at the GGA-PBE level of DFT.

Calculated values
V: 34.5 Å³ per atom
offset from the most stable computed form: 674.3 meV per atom

CIF file:
```
data_HfTl3Fe
_cell_length_a 5.568
_cell_length_b 5.568
_cell_length_c 5.568
_cell_angle_alpha 90.00
_cell_angle_beta 90.00
_cell_angle_gamma 90.00
_symmetry_space_group_name_H-M 'P m -3 m'
_symmetry_Int_Tables_number 221
_symmetry_space_group_name_Hall '-P 4 2 3'
loop_
_atom_site_label
_atom_site_type_symbol
_atom_site_fract_x
_atom_site_fract_y
_atom_site_fract_z
Hf1 Hf 0.000 0.000 0.000
Tl1 Tl 0.000 0.000 0.500
Fe1 Fe 0.500 0.500 0.500
```

---

# 2
Computed, not measured: a relaxed structure of Hf2TlFe at the GGA-PBE level of DFT.

Calculated values
V: 20.3 Å³ per atom
offset from the most stable computed form: 446.3 meV per atom

CIF file:
```
data_Hf2TlFe
_cell_length_a 7.550
_cell_length_b 7.550
_cell_length_c 5.705
_cell_angle_alpha 90.00
_cell_angle_beta 90.00
_cell_angle_gamma 90.00
_symmetry_space_group_name_H-M 'I -4 2 d'
_symmetry_Int_Tables_number 122
_symmetry_space_group_name_Hall 'I -4 2bw'
loop_
_atom_site_label
_atom_site_type_symbol
_atom_site_fract_x
_atom_site_fract_y
_atom_site_fract_z
Hf1 Hf 0.188 0.250 0.125
Tl1 Tl 0.000 0.000 0.500
Fe1 Fe 0.000 0.000 0.000
```

---

# 3
Computed, not measured: a relaxed structure of Hf2TlFe at the GGA-PBE level of DFT.

Calculated values
V: 19.5 Å³ per atom
offset from the most stable computed form: 215.7 meV per atom

CIF file:
```
data_Hf2TlFe
_cell_length_a 6.779
_cell_length_b 6.779
_cell_length_c 6.779
_cell_angle_alpha 90.00
_cell_angle_beta 90.00
_cell_angle_gamma 90.00
_symmetry_space_group_name_H-M 'F m -3 m'
_symmetry_Int_Tables_number 225
_symmetry_space_group_name_Hall '-F 4 2 3'
loop_
_atom_site_label
_atom_site_type_symbol
_atom_site_fract_x
_atom_site_fract_y
_atom_site_fract_z
Hf1 Hf 0.250 0.250 0.250
Tl1 Tl 0.000 0.000 0.000
Fe1 Fe 0.000 0.000 0.500
```

---

Computed values of calculated total energy (unit: eV per cell) for the preceding records, in sequence: -17.8 -116.9 -120.6.